Computed, not measured: an optimized crystal structure of K12Cd3S5 at the PBE level of DFT.

Cell: 17.1707 17.1707 17.1707 Å, 109.47 109.47 109.47°
With the nearest neighbours (Å) after each atom.
Atoms (fractional coordinates):
Cd  0.7500  0.3750  0.1250  8 K 3.99-4.02
Cd  0.8750  0.7500  0.1250  8 K 3.99-4.02
Cd  0.3750  0.7500  0.6250  8 K 3.99-4.02
Cd  0.2500  0.1250  0.3750  8 K 3.99-4.02
Cd  0.8750  0.1250  0.2500  8 K 3.99-4.02
Cd  0.3750  0.6250  0.2500  8 K 3.99-4.02
Cd  0.6250  0.3750  0.7500  8 K 3.99-4.02
Cd  0.1250  0.8750  0.7500  8 K 3.99-4.02
Cd  0.7500  0.8750  0.6250  8 K 3.99-4.02
Cd  0.6250  0.2500  0.3750  8 K 3.99-4.02
Cd  0.1250  0.2500  0.8750  8 K 3.99-4.02
Cd  0.2500  0.6250  0.8750  8 K 3.99-4.02
S  0.1250  0.3750  0.2500  4 K 2.95
S  0.0000  0.5000  0.0000  6 K 3.08
S  0.0000  0.0000  0.0000  6 K 3.08
S  0.3750  0.2500  0.1250  4 K 2.95
S  0.5000  0.0000  0.5000  6 K 3.08
S  0.5000  0.5000  0.0000  6 K 3.08
S  0.1250  0.7500  0.3750  4 K 2.95
S  0.7500  0.1250  0.8750  4 K 2.95
S  0.7500  0.6250  0.3750  4 K 2.95
S  0.3750  0.1250  0.7500  4 K 2.95
S  0.6250  0.8750  0.2500  4 K 2.95
S  0.5000  0.5000  0.5000  6 K 3.08
S  0.5000  0.0000  0.0000  6 K 3.08
S  0.0000  0.0000  0.5000  6 K 3.08
S  0.2500  0.3750  0.6250  4 K 2.95
S  0.2500  0.8750  0.1250  4 K 2.95
S  0.0000  0.5000  0.5000  6 K 3.08
S  0.8750  0.2500  0.6250  4 K 2.95
S  0.6250  0.7500  0.8750  4 K 2.95
S  0.8750  0.6250  0.7500  4 K 2.95
K  0.6933  0.1054  0.0151  2 S 2.95-3.08
K  0.3218  0.5151  0.4097  2 S 2.95-3.08
K  0.9849  0.3946  0.3067  2 S 2.95-3.08
K  0.5151  0.1933  0.1054  2 S 2.95-3.08
K  0.5879  0.6933  0.6782  2 S 2.95-3.08
K  0.9849  0.5903  0.1782  2 S 2.95-3.08
K  0.3218  0.8067  0.4121  2 S 2.95-3.08
K  0.0903  0.9121  0.1054  2 S 2.95-3.08
K  0.5903  0.9849  0.6782  2 S 2.95-3.08
K  0.6933  0.5879  0.1782  2 S 2.95-3.08
K  0.8067  0.4849  0.3946  2 S 2.95-3.08
K  0.8218  0.9097  0.0151  2 S 2.95-3.08
K  0.1054  0.6933  0.5151  2 S 2.95-3.08
K  0.3946  0.4097  0.0879  2 S 2.95-3.08
K  0.0879  0.9097  0.3946  2 S 2.95-3.08
K  0.4121  0.1054  0.5903  2 S 2.95-3.08
K  0.0879  0.1782  0.1933  2 S 2.95-3.08
K  0.4849  0.6782  0.0903  2 S 2.95-3.08
K  0.8218  0.9121  0.3067  2 S 2.95-3.08
K  0.1054  0.4121  0.0903  2 S 2.95-3.08
K  0.3946  0.9849  0.8067  2 S 2.95-3.08
K  0.5903  0.6054  0.4121  2 S 2.95-3.08
K  0.9097  0.8218  0.5151  2 S 2.95-3.08
K  0.8067  0.3218  0.9121  2 S 2.95-3.08
K  0.4097  0.3946  0.5879  2 S 2.95-3.08
K  0.0903  0.1782  0.4849  2 S 2.95-3.08
K  0.1933  0.6782  0.0879  2 S 2.95-3.08
K  0.1782  0.0879  0.6933  2 S 2.95-3.08
K  0.6054  0.0151  0.1933  2 S 2.95-3.08
K  0.8946  0.5879  0.9097  2 S 2.95-3.08
K  0.5151  0.3218  0.9097  2 S 2.95-3.08
K  0.5879  0.8946  0.4097  2 S 2.95-3.08
K  0.9121  0.8218  0.8067  2 S 2.95-3.08
K  0.9121  0.0903  0.6054  2 S 2.95-3.08
K  0.8946  0.3067  0.4849  2 S 2.95-3.08
K  0.1782  0.0903  0.9849  2 S 2.95-3.08
K  0.6054  0.5903  0.9121  2 S 2.95-3.08
K  0.4097  0.0151  0.3218  2 S 2.95-3.08
K  0.3067  0.4121  0.8218  2 S 2.95-3.08
K  0.1933  0.5151  0.6054  2 S 2.95-3.08
K  0.9097  0.0879  0.8946  2 S 2.95-3.08
K  0.6782  0.1933  0.5879  2 S 2.95-3.08
K  0.4849  0.8067  0.8946  2 S 2.95-3.08
K  0.0151  0.4097  0.8218  2 S 2.95-3.08
K  0.4121  0.3067  0.3218  2 S 2.95-3.08
K  0.0151  0.6054  0.6933  2 S 2.95-3.08
K  0.6782  0.4849  0.5903  2 S 2.95-3.08
K  0.3067  0.8946  0.9849  2 S 2.95-3.08

VASP energy, Ry/atom: -0.17594
Symmetry: No. 230
DOS at the Fermi energy, states/eV/atom: 0.380
Magnetic moment, μB/atom: 0.00
Formation energy from raw total energies, meV/atom: -566



Computed, not measured: an optimized crystal structure of K6CdS4 at the PBE level of DFT.

Cell: 7.7507 10.0723 10.0723 Å, 120.00 90.00 90.00°
With the nearest neighbours (Å) after each atom.
Atoms (fractional coordinates):
K  0.4590  0.7048  0.8524  4 S 3.14-3.26
K  0.4590  0.1476  0.2952  4 S 3.14-3.26
K  0.4590  0.1476  0.8524  4 S 3.14-3.26
K  0.9590  0.2952  0.1476  4 S 3.14-3.26
K  0.9590  0.8524  0.7048  4 S 3.14-3.26
K  0.9590  0.8524  0.1476  4 S 3.14-3.26
K  0.6308  0.9397  0.4698  5 S 3.23-3.52, 1 Cd 3.56, 2 K 3.60
K  0.6308  0.5302  0.0603  5 S 3.23-3.52, 1 Cd 3.56, 2 K 3.60
K  0.6308  0.5302  0.4698  5 S 3.23-3.52, 1 Cd 3.56, 2 K 3.60
K  0.1308  0.0603  0.5302  5 S 3.23-3.52, 1 Cd 3.56, 2 K 3.60
K  0.1308  0.4698  0.9397  5 S 3.23-3.52, 1 Cd 3.56, 2 K 3.60
K  0.1308  0.4698  0.5302  5 S 3.23-3.52, 1 Cd 3.56, 2 K 3.60
Cd  0.7503  0.3333  0.6667  4 S 2.61-2.62
Cd  0.2503  0.6667  0.3333  4 S 2.61-2.62
S  0.4129  0.3333  0.6667  1 Cd 2.62
S  0.9129  0.6667  0.3333  1 Cd 2.62
S  0.8533  0.6178  0.8089  1 Cd 2.61
S  0.8533  0.1911  0.3822  1 Cd 2.61
S  0.8533  0.1911  0.8089  1 Cd 2.61
S  0.3533  0.3822  0.1911  1 Cd 2.61
S  0.3533  0.8089  0.6178  1 Cd 2.61
S  0.3533  0.8089  0.1911  1 Cd 2.61

VASP energy, Ry/atom: -0.23827
Symmetry: No. 186
DOS at the Fermi energy, states/eV/atom: 0.000
Magnetic moment, μB/atom: 0.00
Formation energy from raw total energies, meV/atom: -1059



Computed, not measured: an optimized crystal structure of K3CdS3 at the PBE level of DFT.

Cell: 7.9966 7.9966 7.6784 Å, 95.69 95.69 113.36°
With the nearest neighbours (Å) after each atom.
Atoms (fractional coordinates):
K  0.6113  0.6113  0.3520  3 S 3.01-3.27, 1 K 3.25
K  0.1711  0.8289  0.5000  6 S 3.14-3.51
K  0.8289  0.1711  0.5000  6 S 3.14-3.51
K  0.2334  0.7666  0.0000  6 S 3.28-3.63, 2 Cd 3.61
K  0.7666  0.2334  0.0000  6 S 3.28-3.63, 2 Cd 3.61
K  0.3887  0.3887  0.6480  3 S 3.01-3.27, 1 K 3.25
Cd  0.8119  0.8119  0.8567  4 S 2.50-2.62
Cd  0.1881  0.1881  0.1433  4 S 2.50-2.62
S  0.9013  0.9013  0.1936  2 Cd 2.56-2.62
S  0.8364  0.5278  0.7184  1 Cd 2.50
S  0.5278  0.8364  0.7184  1 Cd 2.50
S  0.1636  0.4722  0.2816  1 Cd 2.50
S  0.4722  0.1636  0.2816  1 Cd 2.50
S  0.0987  0.0987  0.8064  2 Cd 2.56-2.62

VASP energy, Ry/atom: -0.23454
Symmetry: No. 12
DOS at the Fermi energy, states/eV/atom: 1.277
Magnetic moment, μB/atom: 0.15
Formation energy from raw total energies, meV/atom: -821



Computed, not measured: an optimized crystal structure of KCdS2 at the PBE level of DFT.

Cell: 7.5520 7.5520 6.6073 Å, 55.15 55.15 90.00°
With the nearest neighbours (Å) after each atom.
Atoms (fractional coordinates):
K  0.5000  0.5000  0.0000  4 S 3.23
K  0.2500  0.7500  0.5000  4 S 3.23
S  0.6973  0.1250  0.2500  2 Cd 2.51
S  0.0527  0.6250  0.2500  2 Cd 2.51
S  0.3750  0.3027  0.7500  2 Cd 2.51
S  0.8750  0.9473  0.7500  2 Cd 2.51
Cd  0.0000  0.0000  0.0000  4 S 2.51
Cd  0.7500  0.2500  0.5000  4 S 2.51

VASP energy, Ry/atom: -0.22846
Symmetry: No. 122
DOS at the Fermi energy, states/eV/atom: 0.317
Magnetic moment, μB/atom: 0.00
Formation energy from raw total energies, meV/atom: -542



Computed, not measured: an optimized crystal structure of K2Cd2S at the PBE level of DFT.

Cell: 6.8394 6.8394 6.3400 Å, 57.36 57.36 90.00°
With the nearest neighbours (Å) after each atom.
Atoms (fractional coordinates):
K  0.7500  0.2500  0.5000  4 Cd 3.47
K  0.2500  0.7500  0.5000  4 Cd 3.47
S  0.0000  0.0000  0.0000  2 Cd 2.64
Cd  0.3222  0.3222  0.3556  1 S 2.64, 1 Cd 2.92
Cd  0.6778  0.6778  0.6444  1 S 2.64, 1 Cd 2.92

VASP energy, Ry/atom: -0.13025
Symmetry: No. 139
DOS at the Fermi energy, states/eV/atom: 0.789
Magnetic moment, μB/atom: 0.00
Formation energy from raw total energies, meV/atom: -142



Computed, not measured: an optimized crystal structure of KCd2S at the PBE level of DFT.

Cell: 8.9089 8.9089 6.9464 Å, 50.11 50.11 90.00°
With the nearest neighbours (Å) after each atom.
Atoms (fractional coordinates):
K  0.0000  0.0000  0.0000  2 S 2.93
K  0.7500  0.2500  0.5000  2 S 2.93
S  0.5000  0.5000  0.0000  4 Cd 2.83, 2 K 2.93
S  0.2500  0.7500  0.5000  4 Cd 2.83, 2 K 2.93
Cd  0.5536  0.1250  0.2500  2 S 2.83
Cd  0.1964  0.6250  0.2500  2 S 2.83
Cd  0.3750  0.4464  0.7500  2 S 2.83
Cd  0.8750  0.8036  0.7500  2 S 2.83

VASP energy, Ry/atom: -0.15196
Symmetry: No. 122
DOS at the Fermi energy, states/eV/atom: 0.350
Magnetic moment, μB/atom: 0.00
Formation energy from raw total energies, meV/atom: -304



Computed, not measured: an optimized crystal structure of K2CdS2 at the PBE level of DFT.

Cell: 7.8066 7.8563 9.7282 Å, 90.00 96.60 90.00°
With the nearest neighbours (Å) after each atom.
Atoms (fractional coordinates):
K  0.5193  0.2725  0.0603  4 S 3.13-3.23
K  0.0193  0.2275  0.0603  4 S 3.13-3.23
K  0.9807  0.7725  0.9397  4 S 3.13-3.23
K  0.4807  0.7275  0.9397  4 S 3.13-3.23
K  0.9386  0.6534  0.3213  4 S 3.18-3.29
K  0.4386  0.8466  0.3213  4 S 3.18-3.29
K  0.5614  0.1534  0.6787  4 S 3.18-3.29
K  0.0614  0.3466  0.6787  4 S 3.18-3.29
Cd  0.3388  0.4081  0.3730  4 S 2.50-2.69
Cd  0.6612  0.5919  0.6270  4 S 2.50-2.69
Cd  0.8388  0.0919  0.3730  4 S 2.50-2.69
Cd  0.1612  0.9081  0.6270  4 S 2.50-2.69
S  0.7444  0.9520  0.1459  1 Cd 2.50
S  0.2444  0.5480  0.1459  1 Cd 2.50
S  0.7556  0.4520  0.8541  1 Cd 2.50
S  0.2556  0.0480  0.8541  1 Cd 2.50
S  0.6769  0.3736  0.4162  3 Cd 2.61-2.69
S  0.1769  0.1264  0.4162  3 Cd 2.61-2.69
S  0.8231  0.8736  0.5838  3 Cd 2.61-2.69
S  0.3231  0.6264  0.5838  3 Cd 2.61-2.69

VASP energy, Ry/atom: -0.23897
Symmetry: No. 14
DOS at the Fermi energy, states/eV/atom: 0.000
Magnetic moment, μB/atom: 0.00
Formation energy from raw total energies, meV/atom: -978



Computed, not measured: an optimized crystal structure of K2CdS2 at the PBE level of DFT.

Cell: 7.5866 7.5866 4.6594 Å, 90.00 90.00 90.00°
With the nearest neighbours (Å) after each atom.
Atoms (fractional coordinates):
K  0.1375  0.6375  0.5000  1 K 2.95, 2 S 3.05
K  0.6375  0.8625  0.5000  1 K 2.95, 2 S 3.05
K  0.8625  0.3625  0.5000  1 K 2.95, 2 S 3.05
K  0.3625  0.1375  0.5000  1 K 2.95, 2 S 3.05
S  0.3205  0.8205  0.0000  2 Cd 2.79, 2 K 3.05
S  0.8205  0.6795  0.0000  2 Cd 2.79, 2 K 3.05
S  0.6795  0.1795  0.0000  2 Cd 2.79, 2 K 3.05
S  0.1795  0.3205  0.0000  2 Cd 2.79, 2 K 3.05
Cd  0.0000  0.0000  0.0000  4 S 2.79
Cd  0.5000  0.5000  0.0000  4 S 2.79

VASP energy, Ry/atom: -0.21879
Symmetry: No. 127
DOS at the Fermi energy, states/eV/atom: 0.000
Magnetic moment, μB/atom: 0.00
Formation energy from raw total energies, meV/atom: -704